[1]
Computed, not measured: an optimized crystal structure of Rb2ZnWF6 at the GGA+U level of DFT.

Calculated values
Calculated total energy in eV per atom: -4.54
Magnetic moment in μB per formula unit: 3.97
Density of states at the Fermi level in states/eV per cell: 0.69

a = 6.3471 Å, b = 6.3471 Å, c = 6.3471 Å
α = 119.96°, β = 119.96°, γ = 90.07°
With the nearest neighbours (Å) after each atom.
Fractional positions:
Rb1 0.2500 0.7500 0.5000  12 F 3.18
Rb2 0.7500 0.2500 0.5000  12 F 3.18
Zn1 0.0000 0.0000 0.0000  6 F 2.36
W1 0.5000 0.5000 0.0000  6 F 2.13
F1 0.2628 0.2628 0.0000  1 W 2.13, 1 Zn 2.36
F2 0.2630 0.2630 0.5261  1 W 2.13, 1 Zn 2.36
F3 0.2630 0.7370 0.0000  1 W 2.13, 1 Zn 2.36
F4 0.7370 0.2630 0.0000  1 W 2.13, 1 Zn 2.36
F5 0.7372 0.7372 0.0000  1 W 2.13, 1 Zn 2.36
F6 0.7370 0.7370 0.4739  1 W 2.13, 1 Zn 2.36



[2]
Computed, not measured: an optimized crystal structure of Rb2ZrWF6 at the GGA+U level of DFT.

Calculated values
Calculated total energy in eV per atom: -5.38
Magnetic moment in μB per formula unit: 4.00
Density of states at the Fermi level in states/eV per cell: 0.00

a = 6.8243 Å, b = 6.8243 Å, c = 6.8243 Å
α = 113.64°, β = 113.64°, γ = 101.41°
With the nearest neighbours (Å) after each atom.
Fractional positions:
Rb1 0.2500 0.7500 0.5000  12 F 3.47-3.74
Rb2 0.7500 0.2500 0.5000  12 F 3.47-3.74
Zr1 0.0000 0.0000 0.0000  6 F 2.03-2.07
W1 0.5000 0.5000 0.0000  2 F 2.25
F1 0.1918 0.1918 0.3836  1 Zr 2.03
F2 0.1918 0.8082 0.0000  1 Zr 2.03
F3 0.2400 0.2400 0.0000  1 Zr 2.07, 1 W 2.25
F4 0.7600 0.7600 0.0000  1 Zr 2.07, 1 W 2.25
F5 0.8082 0.1918 0.0000  1 Zr 2.03
F6 0.8082 0.8082 0.6164  1 Zr 2.03